*A*
Below is a geometry-optimized NiIr3Rh4 structure, with properties calculated at the PBE level.

```
NiIr3Rh4
1.0
-0.5287 -2.7494 2.6033
-1.6517 -2.1963 -2.6550
11.2241 3.8717 3.5612
Ni Ir Rh
1 3 4
Cartesian
-0.2643 -1.3747 1.3017
-0.8258 -1.0982 -1.3275
4.2661 -0.4090 0.4344
4.7777 -0.6649 3.0752
1.6975 -0.7444 -0.4414
7.3463 -0.3296 3.9510
6.7861 -0.0529 1.3223
2.2576 -1.0211 2.1873
```

***

*B*
Below is a geometry-optimized NiIr3Rh4 structure, with properties calculated at the PBE level.

```
NiIr3Rh4
1.0
2.5887 0.0000 -0.7179
-0.7527 8.3595 -2.7142
0.3037 -2.6395 6.1212
Ni Ir Rh
1 3 4
Cartesian
1.2943 0.0000 -0.3590
0.5486 0.6917 1.9783
1.5910 5.0283 0.7108
-0.3764 4.1797 -1.3571
0.7138 3.2239 2.5740
1.4258 2.4961 0.1150
1.0500 6.6700 -1.2402
1.0897 -0.9500 3.9292
```

***

The winner here is *A*, beating the second structure by 14.6 kJ/mol of atoms.

***

*A*
Below is a geometry-optimized NiIr2Rh8 structure, with properties calculated at the PBE level.

```
NiIr2Rh8
1.0
-1.9400 0.7045 4.1686
5.3191 -4.2200 -0.6525
6.4158 2.4741 0.6471
Ni Ir Rh
1 2 8
Cartesian
-0.9700 0.3522 2.0843
4.1138 -0.3352 0.0506
7.6211 -1.4106 -0.0560
1.7184 0.2436 0.6665
6.4222 0.6284 0.8699
0.8354 -1.2375 2.6045
5.9251 -1.9445 1.8401
3.8699 0.9031 2.3230
2.5438 -2.2779 0.9116
3.3728 -1.6697 3.2932
8.0766 -1.2850 3.4967
```

***

*B*
Below is a geometry-optimized NiIr2Rh8 structure, with properties calculated at the PBE level.

```
NiIr2Rh8
1.0
4.1796 0.2380 -0.1518
-0.4148 6.0612 -1.9146
0.2016 0.5049 6.3466
Ni Ir Rh
1 2 8
Cartesian
2.0898 0.1190 -0.0759
-0.1835 3.9764 1.1851
-0.0297 2.5896 3.2470
-0.2591 6.2166 2.6032
-0.0956 4.7429 4.7944
1.9480 4.5120 2.8893
2.1420 1.9709 4.2679
1.8244 4.8331 0.0123
2.0185 2.2920 1.3909
4.0621 2.0611 -0.5141
4.2256 0.5874 1.6770
```

***

The winner here is *B*, beating the second structure by 1.2 kJ/mol of atoms.

***

*A*
Below is a geometry-optimized Ni3Ir2Rh3 structure, with properties calculated at the PBE level.

```
Ni3Ir2Rh3
1.0
-4.3416 0.5783 1.3520
-2.3799 -3.9373 -0.6090
4.6722 0.1330 4.5014
Ni Ir Rh
3 2 3
Cartesian
-0.2058 -3.1291 3.3523
-3.3607 -1.6795 0.3715
-1.8435 -0.0968 1.8922
-2.7096 -2.4472 2.7908
0.6604 -0.7787 2.4537
-1.1905 -0.8668 4.3183
-0.8587 -2.3591 0.9261
0.0000 0.0000 0.0000
```

***

*B*
Below is a geometry-optimized Ni3Ir2Rh3 structure, with properties calculated at the PBE level.

```
Ni3Ir2Rh3
1.0
-2.0778 1.2533 -3.5747
1.9701 -3.5028 -2.3732
-3.9000 -2.3525 4.0531
Ni Ir Rh
3 2 3
Cartesian
-1.9387 -0.5321 -1.6706
-0.0539 -1.1248 -2.9739
-2.0690 -4.0699 -0.2243
-2.1124 -1.4720 0.7118
-1.8953 -3.1300 -2.6066
-0.1053 -2.4578 -0.8005
-3.9024 -2.1442 -1.0944
0.0000 0.0000 0.0000
```

***

The winner here is *A*, beating the second structure by 13.1 kJ/mol of atoms.

***

*A*
Below is a geometry-optimized NiIrRh3 structure, with properties calculated at the PBE level.

```
NiIrRh3
1.0
-2.0425 2.1121 -3.6613
-0.3813 -4.1419 -2.1766
-4.2096 -0.6496 1.9737
Ni Ir Rh
1 1 3
Cartesian
-3.3167 -1.3397 -1.9321
0.0000 0.0000 0.0000
-0.1907 -2.0709 -1.0883
-2.1048 -0.3248 0.9868
-1.0213 1.0560 -1.8306
```

***

*B*
Below is a geometry-optimized NiIrRh3 structure, with properties calculated at the PBE level.

```
NiIrRh3
1.0
4.5365 0.0000 0.0000
0.0000 7.0399 0.0000
0.0000 0.0000 9.0313
Ni Ir Rh
4 4 12
Cartesian
2.2683 0.0000 0.0000
0.0000 3.5199 4.5156
0.0000 3.5199 0.0000
2.2683 0.0000 4.5156
1.7801 2.2672 2.2578
4.0484 1.2527 6.7734
2.7564 4.7726 6.7734
0.4881 5.7871 2.2578
0.0351 1.1259 0.6485
2.3033 2.3940 5.1641
2.3033 2.3940 8.3828
4.5014 5.9139 5.1641
4.5014 5.9139 8.3828
2.2332 4.6459 3.8672
2.2332 4.6459 0.6485
0.0351 1.1259 3.8672
2.8234 6.8771 2.2578
0.5551 3.6827 6.7734
1.7131 0.1628 6.7734
3.9814 3.3572 2.2578
```

***

*C*
Below is a geometry-optimized NiIrRh3 structure, with properties calculated at the PBE level.

```
NiIrRh3
1.0
4.3797 0.0000 0.0000
0.0000 4.3797 0.0000
0.0000 0.0000 4.3797
Ni Ir Rh
1 1 3
Cartesian
0.0000 0.0000 0.0000
2.1898 2.1898 2.1898
0.0000 2.1898 0.0000
0.0000 0.0000 2.1898
2.1898 0.0000 0.0000
```

***

The winner here is *B*, beating the second structure by 97.7 kJ/mol of atoms.

***

*A*
Below is a geometry-optimized Ni2IrRh4 structure, with properties calculated at the PBE level.

```
Ni2IrRh4
1.0
-2.4540 -0.5778 0.9619
1.4735 -0.4354 3.4975
-0.2715 9.6428 1.3148
Ni Ir Rh
2 1 4
Cartesian
-1.3880 5.0974 3.3056
0.1360 3.5322 2.4686
-1.2270 -0.2889 0.4810
-1.7790 7.5378 3.7741
-1.6539 2.3759 0.9925
0.5269 1.0918 2.0002
-1.0716 6.6891 1.2842
```

***

*B*
Below is a geometry-optimized Ni2IrRh4 structure, with properties calculated at the PBE level.

```
Ni2IrRh4
1.0
-2.3215 -3.7225 -6.0111
0.4503 -4.9541 -1.7124
-4.3058 -2.7592 -1.2348
Ni Ir Rh
2 1 4
Cartesian
-1.9277 -3.8566 -1.4736
-3.0885 -5.7179 -4.4792
0.0000 0.0000 0.0000
-0.9360 -4.3384 -3.8615
-4.4742 -5.1025 -6.6283
-2.8636 -8.1945 -5.3356
-4.0802 -5.2361 -2.0913
```

***

The winner here is *A*, beating the second structure by 5.1 kJ/mol of atoms.

***

*A*
Below is a geometry-optimized NiIr2Rh4 structure, with properties calculated at the PBE level.

```
NiIr2Rh4
1.0
-1.4934 -4.6404 2.4003
3.4632 -3.8224 0.9154
0.1600 -0.5388 5.2083
Ni Ir Rh
1 2 4
Cartesian
0.0000 0.0000 0.0000
1.8116 -2.1806 3.0618
1.0648 -4.5008 4.2620
0.9850 -4.2312 1.6583
-1.4130 -4.9100 5.0044
2.7960 -6.4118 4.7197
1.8914 -2.4502 5.6655
```

***

*B*
Below is a geometry-optimized NiIr2Rh4 structure, with properties calculated at the PBE level.

```
NiIr2Rh4
1.0
-3.7448 2.1557 0.7808
2.0346 -2.0551 3.0856
6.8114 10.8434 2.7308
Ni Ir Rh
2 4 8
Cartesian
1.8568 1.7838 3.9806
3.2445 9.1604 2.6166
4.6952 10.6874 5.3583
0.4060 0.2566 1.2389
1.9992 6.3956 4.2774
3.1020 4.5484 2.3197
4.4895 6.6635 3.1349
0.6118 4.2805 3.4623
-0.7534 2.1073 2.9150
5.8546 8.8367 3.6822
3.3550 8.4944 4.9853
1.7462 2.4496 1.6119
4.9390 11.9213 3.1212
1.5333 6.4996 1.7558
```

***

The winner here is *B*, beating the second structure by 5.0 kJ/mol of atoms.

***

*A*
Below is a geometry-optimized VNiIrRh structure, with properties calculated at the PBE level.

```
VNiIrRh
1.0
4.2181 0.0000 0.0000
2.1091 3.6530 0.0000
2.1091 1.2177 3.4441
Ni Ir Rh V
1 1 1 1
Cartesian
4.2181 2.4353 1.7220
2.1091 1.2177 0.8610
6.3272 3.6530 2.5831
0.0000 0.0000 0.0000
```

***

*B*
Below is a geometry-optimized VNiIrRh structure, with properties calculated at the PBE level.

```
VNiIrRh
1.0
3.5957 0.0000 0.0000
0.0000 3.8348 0.0000
0.0000 0.0000 3.8183
V Ni Ir Rh
1 1 1 1
Cartesian
0.0000 1.9174 1.9092
0.0000 0.0000 0.0000
1.7978 1.9174 0.0000
1.7978 0.0000 1.9092
```

***

The winner here is *B*, beating the second structure by 12.3 kJ/mol of atoms.

***

*A*
Below is a geometry-optimized Ni2IrRu structure, with properties calculated at the PBE level.

```
Ni2IrRu
1.0
8.5469 0.0013 0.0008
8.1339 2.6246 0.0008
8.1339 1.2805 2.2911
Ir Ni Ru
1 2 1
Cartesian
18.6110 2.9298 1.7195
24.7929 3.9030 2.2906
12.4292 1.9566 1.1483
6.2037 0.9766 0.5732
```

***

*B*
Below is a geometry-optimized Ni2IrRu structure, with properties calculated at the PBE level.

```
Ni2IrRu
1.0
-1.3447 1.9922 -1.0010
-0.3411 -0.5364 2.5249
6.5025 5.4073 2.0270
Ir Ni Ru
1 2 1
Cartesian
4.0340 4.7834 2.2822
0.0115 0.0096 0.0036
3.2397 2.6940 1.0099
0.7828 2.0798 1.2687
```

***

*C*
Below is a geometry-optimized Ni2IrRu structure, with properties calculated at the PBE level.

```
Ni2IrRu
1.0
2.6821 0.0000 0.0000
0.0000 2.6821 0.0000
0.0000 0.0000 7.0674
Ru Ir Ni
1 1 2
Cartesian
0.0000 0.0000 3.4751
1.3411 1.3411 5.3369
0.0000 0.0000 0.0793
1.3411 1.3411 1.7100
```

***

The winner here is *C*, beating the second structure by 6.7 kJ/mol of atoms.

***

*A*
Below is a geometry-optimized NiIrRu3 structure, with properties calculated at the PBE level.

```
NiIrRu3
1.0
-4.2919 -0.4299 -1.7781
-0.3980 -4.2068 1.9778
-1.7855 1.9711 3.8333
Ru Ir Ni
3 1 1
Cartesian
-0.1990 -2.1034 0.9889
-0.8928 0.9856 1.9166
-2.1460 -0.2149 -0.8891
0.0000 0.0000 0.0000
-3.2377 -1.3328 2.0165
```

***

*B*
Below is a geometry-optimized NiIrRu3 structure, with properties calculated at the PBE level.

```
NiIrRu3
1.0
-3.4588 1.3977 -2.2174
-1.7095 -3.9859 0.1540
-1.9870 0.9962 3.7273
Ru Ir Ni
3 1 1
Cartesian
-0.8547 -1.9930 0.0770
-0.9935 0.4981 1.8637
-1.7294 0.6989 -1.1087
-3.5776 -0.7960 0.8320
0.0000 0.0000 0.0000
```

***

The winner here is *B*, beating the second structure by 36.0 kJ/mol of atoms.

***

*A*
Below is a geometry-optimized NiIrRu structure, with properties calculated at the PBE level.

```
NiIrRu
1.0
5.7724 0.0000 0.0000
0.0000 6.7191 0.0110
0.0000 -0.8459 4.8558
Ru Ni Ir
4 4 4
Cartesian
2.8862 1.0279 3.6380
0.0000 1.4858 1.2232
2.8862 4.8453 1.2288
5.7724 4.3875 3.6436
4.5392 2.5136 4.8612
4.1194 5.8732 4.8668
1.2333 3.3596 0.0055
1.6530 0.0000 0.0000
1.2681 -0.4230 2.4279
1.6181 2.9366 2.4334
4.5043 -0.4230 2.4279
4.1543 2.9366 2.4334
```

***

*B*
Below is a geometry-optimized NiIrRu structure, with properties calculated at the PBE level.

```
NiIrRu
1.0
-1.8226 1.8510 -0.6728
0.0168 -1.0276 2.4788
4.0059 4.6325 1.8932
Ir Ni Ru
1 1 1
Cartesian
0.0134 0.0155 0.0063
0.1368 2.4483 1.0140
2.0499 2.9921 2.6789
```

***

*C*
Below is a geometry-optimized NiIrRu structure, with properties calculated at the PBE level.

```
NiIrRu
1.0
5.8019 0.0064 0.0000
4.5466 3.6044 0.0000
-5.1742 -1.8054 1.9053
Ru Ir Ni
1 1 1
Cartesian
6.9156 2.4130 0.0000
10.3444 3.6094 0.0000
3.4371 1.1993 0.0000
```

***

The winner here is *C*, beating the second structure by 0.9 kJ/mol of atoms.

***

*A*
Below is a geometry-optimized NiIr3Ru2 structure, with properties calculated at the PBE level.

```
NiIr3Ru2
1.0
3.7964 0.0000 0.0000
0.0000 5.3592 0.5603
0.0000 -0.7976 8.0691
Ni Ir Ru
2 6 4
Cartesian
0.9491 4.0780 6.5537
2.8473 0.4836 2.0757
2.8473 0.1836 4.7937
0.9491 4.3780 3.8357
2.8473 3.1413 2.3802
0.9491 1.4203 6.2492
0.9491 1.9275 0.8540
2.8473 2.6340 7.7755
0.9491 1.6788 3.6248
2.8473 2.8828 5.0046
2.8473 -0.0830 7.4667
0.9491 4.6446 1.1627
```

***

*B*
Below is a geometry-optimized NiIr3Ru2 structure, with properties calculated at the PBE level.

```
NiIr3Ru2
1.0
-1.9375 -1.5676 -4.7817
-4.3906 -3.8212 -1.5184
-4.8728 4.8506 1.8958
Ni Ir Ru
2 6 4
Cartesian
-6.6895 1.1151 -3.7392
-4.5114 -1.6533 -0.6652
-5.4801 -2.4374 -3.0561
-5.7209 1.8991 -1.3482
-3.1145 -1.8538 -4.2071
-3.4549 0.8009 -0.3857
-7.7460 -1.3392 -4.0187
-8.0865 1.3155 -0.1973
-6.7973 -0.5617 -1.6194
-2.1657 -1.0764 -1.8081
-9.0353 0.5381 -2.5963
-4.4037 0.0234 -2.7850
```

***

The winner here is *A*, beating the second structure by 0.8 kJ/mol of atoms.